No. 1
This record from the Alexandria database describes a relaxed structure of TaFe2Sn. The functional is PBE.

a b c (Å): 3.137 4.310 4.310
angles (deg): 90.00 90.00 90.00
Sites, in units of the cell vectors:
Fe 0.000 0.000 0.500
Fe 0.000 0.500 0.000
Sn 0.500 0.500 0.500
Ta 0.500 0.000 0.000

No. 2
This record from the Alexandria database describes a relaxed structure of Ta2FeSn. The functional is PBE.

a b c (Å): 3.904 3.904 10.379
angles (deg): 79.16 79.16 90.00
Sites, in units of the cell vectors:
Fe 0.500 0.500 0.000
Fe 0.250 0.750 0.500
Sn 0.000 0.000 0.000
Sn 0.750 0.250 0.500
Ta 0.623 0.125 0.250
Ta 0.127 0.625 0.250
Ta 0.375 0.377 0.750
Ta 0.875 0.873 0.750

No. 3
This record from the Alexandria database describes a relaxed structure of Ta2Fe2Sn. The functional is PBE.

a b c (Å): 7.183 7.183 3.028
angles (deg): 90.00 90.00 90.00
Sites, in units of the cell vectors:
Fe 0.369 0.869 0.000
Fe 0.869 0.631 0.000
Fe 0.631 0.131 0.000
Fe 0.131 0.369 0.000
Sn 0.000 0.000 0.000
Sn 0.500 0.500 0.000
Ta 0.159 0.659 0.500
Ta 0.659 0.841 0.500
Ta 0.841 0.341 0.500
Ta 0.341 0.159 0.500

No. 4
This record from the Alexandria database describes a relaxed structure of Tb2FeSn. The functional is PBE.

a b c (Å): 3.517 3.517 10.229
angles (deg): 80.10 80.10 60.00
Sites, in units of the cell vectors:
Tb 0.106 0.106 0.681
Tb 0.894 0.894 0.319
Sn 0.000 0.000 0.000
Fe 0.500 0.500 0.500

No. 5
This record from the Alexandria database describes a relaxed structure of Tb12FeSn6. The functional is PBE.

a b c (Å): 8.593 8.593 8.593
angles (deg): 99.25 99.25 99.25
Sites, in units of the cell vectors:
Tb 0.803 0.575 0.442
Tb 0.442 0.803 0.575
Tb 0.575 0.442 0.803
Tb 0.197 0.425 0.558
Tb 0.558 0.197 0.425
Tb 0.425 0.558 0.197
Tb 0.053 0.990 0.308
Tb 0.010 0.692 0.947
Tb 0.692 0.947 0.010
Tb 0.947 0.010 0.692
Tb 0.990 0.308 0.053
Tb 0.308 0.053 0.990
Fe 0.000 0.000 0.000
Sn 0.689 0.879 0.357
Sn 0.643 0.311 0.121
Sn 0.121 0.643 0.311
Sn 0.311 0.121 0.643
Sn 0.357 0.689 0.879
Sn 0.879 0.357 0.689

No. 6
This record from the Alexandria database describes a relaxed structure of Tb6Fe2Sn. The functional is PBE.

a b c (Å): 8.419 8.419 8.419
angles (deg): 106.85 112.10 109.51
Sites, in units of the cell vectors:
Tb 0.533 0.816 0.718
Tb 0.467 0.184 0.282
Tb 0.098 0.816 0.282
Tb 0.902 0.184 0.718
Tb 0.792 0.029 0.237
Tb 0.208 0.971 0.763
Tb 0.208 0.445 0.237
Tb 0.792 0.555 0.763
Tb 0.686 0.329 0.015
Tb 0.314 0.671 0.985
Tb 0.314 0.329 0.643
Tb 0.686 0.671 0.357
Fe 0.500 0.109 0.609
Fe 0.500 0.891 0.391
Fe 0.669 0.669 0.000
Fe 0.331 0.331 0.000
Sn 0.000 0.500 0.500
Sn 0.000 0.000 0.000

No. 7
This record from the Alexandria database describes a relaxed structure of TbFeSn. The functional is PBE.

a b c (Å): 4.003 4.003 10.313
angles (deg): 78.81 78.81 60.00
Sites, in units of the cell vectors:
Tb 0.562 0.562 0.314
Tb 0.438 0.438 0.686
Sn 0.305 0.305 0.084
Sn 0.695 0.695 0.916
Fe 0.834 0.834 0.499
Fe 0.166 0.166 0.501

No. 8
This record from the Alexandria database describes a relaxed structure of FeTc2Sn4. The functional is PBE.

a b c (Å): 4.966 4.966 7.413
angles (deg): 70.43 70.43 90.00
Sites, in units of the cell vectors:
Fe 0.000 0.000 0.000
Sn 0.805 0.805 0.390
Sn 0.195 0.195 0.610
Sn 0.000 0.500 0.000
Sn 0.500 0.000 0.000
Tc 0.599 0.599 0.802
Tc 0.401 0.401 0.198

No. 9
This record from the Alexandria database describes a relaxed structure of FeTc3Sn. The functional is PBE.

a b c (Å): 4.479 4.479 4.479
angles (deg): 90.00 90.00 90.00
Sites, in units of the cell vectors:
Fe 0.000 0.000 0.000
Sn 0.500 0.500 0.500
Tc 0.000 0.500 0.000
Tc 0.000 0.000 0.500
Tc 0.500 0.000 0.000

No. 10
This record from the Alexandria database describes a relaxed structure of Fe4TcSn. The functional is PBE.

a b c (Å): 4.839 4.839 4.839
angles (deg): 60.00 60.00 60.00
Sites, in units of the cell vectors:
Fe 0.626 0.626 0.122
Fe 0.626 0.122 0.626
Fe 0.626 0.626 0.626
Fe 0.122 0.626 0.626
Sn 0.250 0.250 0.250
Tc 0.000 0.000 0.000

No. 11
This record from the Alexandria database describes a relaxed structure of FeTcSn6. The functional is PBE.

a b c (Å): 5.793 5.793 6.623
angles (deg): 96.14 96.14 109.87
Sites, in units of the cell vectors:
Fe 0.500 0.500 0.500
Tc 0.000 0.000 0.000
Sn 0.251 0.251 0.738
Sn 0.428 0.089 0.257
Sn 0.749 0.749 0.262
Sn 0.911 0.572 0.743
Sn 0.572 0.911 0.743
Sn 0.089 0.428 0.257

No. 12
This record from the Alexandria database describes a relaxed structure of FeTcSn4. The functional is PBE.

a b c (Å): 6.661 6.661 7.290
angles (deg): 117.18 117.18 90.00
Sites, in units of the cell vectors:
Fe 0.500 0.500 0.000
Fe 0.000 0.000 0.000
Tc 0.250 0.250 0.500
Tc 0.750 0.750 0.500
Sn 0.473 0.973 0.265
Sn 0.973 0.792 0.265
Sn 0.292 0.473 0.265
Sn 0.708 0.527 0.735
Sn 0.027 0.208 0.735
Sn 0.527 0.027 0.735
Sn 0.208 0.708 0.735
Sn 0.792 0.292 0.265

| no. | E_form (eV/atom) |
| --- | --- |
| 1 | -0.001 |
| 2 | 0.658 |
| 3 | -0.021 |
| 4 | 0.205 |
| 5 | -0.345 |
| 6 | -0.203 |
| 7 | -0.192 |
| 8 | 0.620 |
| 9 | 1.049 |
| 10 | 0.127 |
| 11 | 0.281 |
| 12 | 0.033 |